Record 1
An optimized crystal structure of CdIn2Ru. Source: the Alexandria database, functional PBE.

POSCAR file:
```
CdIn2Ru
1.0
3.278 0.000 0.000
0.000 3.278 0.000
0.000 0.000 7.647
Cd In Ru
1 2 1
Cartesian
0.000 0.000 0.000 Cd
1.639 1.639 2.252 In
1.639 1.639 5.395 In
0.000 0.000 3.824 Ru
```

Summary:
Space-group type: P4/mmm
Volume, A^3/atom: 20.549
M_tot, μB per atom: 0.000
Density of states at the Fermi level, states/eV per cell: 1.98
Crystal system: tetragonal
Formation enthalpy at 0 K, eV/atom: 0.12


Record 2
An optimized crystal structure of CdInRu2. Source: the Alexandria database, functional PBE.

POSCAR file:
```
CdInRu2
1.0
5.172 -1.463 0.000
5.172 1.463 0.000
-1.749 0.000 4.561
Cd In Ru
1 1 2
Cartesian
0.000 0.000 0.000 Cd
1.164 0.000 2.808 In
3.925 0.000 2.185 Ru
7.585 0.000 0.615 Ru
```

Summary:
Space-group type: Cm
Volume, A^3/atom: 17.259
M_tot, μB per atom: 0.001
Density of states at the Fermi level, states/eV per cell: 5.28
Crystal system: monoclinic
Formation enthalpy at 0 K, eV/atom: 0.25


Record 3
An optimized crystal structure of CdIn2Ru. Source: the Alexandria database, functional PBE.

POSCAR file:
```
CdIn2Ru
1.0
-2.119 2.119 4.280
2.119 -2.119 4.280
2.119 2.119 -4.280
Cd In Ru
1 2 1
Cartesian
0.000 0.000 0.000 Cd
2.119 0.000 2.140 In
0.000 2.119 2.140 In
0.000 0.000 4.280 Ru
```

Summary:
Space-group type: I4/mmm
Volume, A^3/atom: 19.221
M_tot, μB per atom: 0.000
Density of states at the Fermi level, states/eV per cell: 2.20
Crystal system: tetragonal
Formation enthalpy at 0 K, eV/atom: 0.15


Record 4
An optimized crystal structure of CdIn2Ru. Source: the Alexandria database, functional PBE.

POSCAR file:
```
CdIn2Ru
1.0
3.679 0.000 0.000
0.000 3.679 0.000
0.000 0.000 5.885
Cd In Ru
1 2 1
Cartesian
0.000 0.000 0.000 Cd
0.000 0.000 3.137 In
1.839 1.839 1.454 In
1.839 1.839 4.372 Ru
```

Summary:
Space-group type: P4mm
Volume, A^3/atom: 19.912
M_tot, μB per atom: 0.072
Density of states at the Fermi level, states/eV per cell: 2.09
Crystal system: tetragonal
Formation enthalpy at 0 K, eV/atom: 0.16


Record 5
An optimized crystal structure of CdInRu2. Source: the Alexandria database, functional PBE.

POSCAR file:
```
CdInRu2
1.0
-3.719 3.719 2.699
3.719 -3.719 2.699
3.719 3.719 -2.699
Cd In Ru
2 2 4
Cartesian
0.000 0.000 0.000 Cd
0.000 3.719 1.350 Cd
3.719 0.000 1.350 In
0.000 0.000 2.699 In
1.860 -1.820 2.024 Ru
1.899 1.860 0.675 Ru
1.860 5.539 -0.675 Ru
1.820 1.860 3.374 Ru
```

Summary:
Space-group type: I-42d
Volume, A^3/atom: 18.669
M_tot, μB per atom: 0.000
Density of states at the Fermi level, states/eV per cell: 9.27
Crystal system: tetragonal
Formation enthalpy at 0 K, eV/atom: 0.77


Record 6
An optimized crystal structure of CdIn2Ru. Source: the Alexandria database, functional PBE.

POSCAR file:
```
CdIn2Ru
1.0
1.589 0.918 9.609
-1.589 0.918 9.609
0.000 -1.835 9.609
Cd In Ru
1 2 1
Cartesian
0.000 0.000 0.000 Cd
0.000 0.000 6.916 In
0.000 0.000 13.789 In
0.000 0.000 21.369 Ru
```

Summary:
Space-group type: R3m
Volume, A^3/atom: 21.025
M_tot, μB per atom: 0.041
Density of states at the Fermi level, states/eV per cell: 3.19
Crystal system: trigonal
Formation enthalpy at 0 K, eV/atom: 0.25